DFT (PBE) results for a relaxed structure of Ac2CdC.

Unit cell a=3.9216 b=3.9216 c=26.9027 alpha=90.00 beta=90.00 gamma=120.00
Space group R-3m (No. 166, hexagonal axes)
Asymmetric unit:
Ac 0.0000 0.0000 0.2244
Cd 0.0000 0.0000 0.0000
C 0.0000 0.0000 0.5000

## Properties
Magnetization ... 0.00 μB per cell
Calculated formation energy ... 0.10 eV/f.u.
E ... -4.5639 eV per atom
Fermi-level density of states ... 12.10 states/eV per cell